(1)
# Rb2MoPt

A relaxed Rb2MoPt crystal (PBE, Alexandria).

Lattice parameters (Å, degrees): 12.728 12.728 9.330 47.00 47.00 90.00
Fractional coordinates of all 8 atoms:
1 Mo 0.500 0.500 0.000
2 Mo 0.250 0.750 0.500
3 Rb 0.795 0.125 0.250
4 Rb 0.955 0.625 0.250
5 Rb 0.375 0.205 0.750
6 Rb 0.875 0.045 0.750
7 Pt 0.000 0.000 0.000
8 Pt 0.750 0.250 0.500

Energy   -3.81 eV/atom
Crystal system   tetragonal
Energy of formation from the pure elements   887 meV/atom
Calculated density   3.848 g cm⁻³
Offset from the most stable computed form   0.00 eV/f.u.


(2)
# Rb3MoPt

A relaxed Rb3MoPt crystal (PBE, Alexandria).

Lattice parameters (Å, degrees): 6.439 6.439 6.439 90.00 90.00 90.00
Fractional coordinates of all 5 atoms:
1 Mo 0.500 0.500 0.500
2 Rb 0.000 0.500 0.000
3 Rb 0.000 0.000 0.500
4 Rb 0.500 0.000 0.000
5 Pt 0.000 0.000 0.000

Energy   -2.91 eV/atom
Crystal system   cubic
Energy of formation from the pure elements   1049 meV/atom
Calculated density   3.405 g cm⁻³
Offset from the most stable computed form   0.00 eV/f.u.


(3)
# RbMoPt3

A relaxed RbMoPt3 crystal (PBE, Alexandria).

Lattice parameters (Å, degrees): 4.970 4.970 4.970 90.00 90.00 90.00
Fractional coordinates of all 5 atoms:
1 Mo 0.000 0.000 0.000
2 Rb 0.500 0.500 0.500
3 Pt 0.000 0.500 0.000
4 Pt 0.000 0.000 0.500
5 Pt 0.500 0.000 0.000

Energy   -5.34 eV/atom
Crystal system   cubic
Energy of formation from the pure elements   641 meV/atom
Calculated density   10.373 g cm⁻³


(4)
# RbMo2Pt2

A relaxed RbMo2Pt2 crystal (PBE, Alexandria).

Lattice parameters (Å, degrees): 8.316 8.316 2.760 90.00 90.00 90.00
Fractional coordinates of all 10 atoms:
1 Mo 0.388 0.888 0.000
2 Mo 0.888 0.612 0.000
3 Mo 0.612 0.112 0.000
4 Mo 0.112 0.388 0.000
5 Rb 0.000 0.000 0.000
6 Rb 0.500 0.500 0.000
7 Pt 0.172 0.672 0.500
8 Pt 0.672 0.828 0.500
9 Pt 0.828 0.328 0.500
10 Pt 0.328 0.172 0.500

Energy   -6.68 eV/atom
Crystal system   tetragonal
Energy of formation from the pure elements   264 meV/atom
Calculated density   11.613 g cm⁻³
Offset from the most stable computed form   0.00 eV/f.u.


(5)
# RbMo2Pt2

A relaxed RbMo2Pt2 crystal (PBE, Alexandria).

Lattice parameters (Å, degrees): 4.890 4.890 5.685 64.53 64.53 90.00
Fractional coordinates of all 5 atoms:
1 Mo 0.370 0.370 0.260
2 Mo 0.630 0.630 0.740
3 Rb 0.000 0.000 0.000
4 Pt 0.750 0.250 0.500
5 Pt 0.250 0.750 0.500

Energy   -6.39 eV/atom
Crystal system   tetragonal
Energy of formation from the pure elements   556 meV/atom
Calculated density   10.272 g cm⁻³
Offset from the most stable computed form   1.46 eV/f.u.


(6)
# Rb2MoPt

A relaxed Rb2MoPt crystal (PBE, Alexandria).

Lattice parameters (Å, degrees): 5.790 5.790 5.790 60.00 60.00 60.00
Fractional coordinates of all 4 atoms:
1 Mo 0.000 0.000 0.000
2 Rb 0.250 0.250 0.250
3 Rb 0.750 0.750 0.750
4 Pt 0.500 0.500 0.500

Energy   -3.30 eV/atom
Crystal system   cubic
Energy of formation from the pure elements   1403 meV/atom
Calculated density   5.590 g cm⁻³
Offset from the most stable computed form   2.06 eV/f.u.


(7)
# RbRe2MoPt

A relaxed RbRe2MoPt crystal (PBE, Alexandria).

Lattice parameters (Å, degrees): 4.673 4.727 4.673 90.00 90.00 90.00
Fractional coordinates of all 5 atoms:
1 Re 0.000 0.000 0.500
2 Re 0.500 0.000 0.000
3 Mo 0.500 0.500 0.500
4 Rb 0.000 0.000 0.000
5 Pt 0.000 0.500 0.000

Energy   -4.66 eV/atom
Crystal system   tetragonal
Energy of formation from the pure elements   3888 meV/atom
Calculated density   12.049 g cm⁻³


(8)
# RbScMoPt2

A relaxed RbScMoPt2 crystal (PBE, Alexandria).

Lattice parameters (Å, degrees): 4.919 5.182 4.919 90.00 90.00 90.00
Fractional coordinates of all 5 atoms:
1 Sc 0.500 0.500 0.500
2 Mo 0.000 0.000 0.000
3 Rb 0.000 0.500 0.000
4 Pt 0.000 0.000 0.500
5 Pt 0.500 0.000 0.000

Energy   -5.03 eV/atom
Crystal system   tetragonal
Energy of formation from the pure elements   1015 meV/atom
Calculated density   8.165 g cm⁻³